Compound: Tb3MnSe6
Source: Alexandria
Functional: GGA-PBE
Structure: relaxed

The structure in POSCAR format:
```
Tb3MnSe6
1.0
5.5959 -6.8847 0.0000
5.5959 6.8847 0.0000
0.0000 0.0000 6.8532
Tb Mn Se
6 2 12
direct
0.0995 0.9005 0.5000
0.2204 0.4171 0.4054
0.4171 0.2204 0.9054
0.5829 0.7796 0.4054
0.7796 0.5829 0.9054
0.9005 0.0995 0.0000
0.2980 0.7020 0.8649
0.7020 0.2980 0.3649
0.0647 0.5955 0.6876
0.1304 0.1948 0.7030
0.1948 0.1304 0.2030
0.2779 0.7221 0.2215
0.4045 0.9353 0.6876
0.4611 0.5389 0.7113
0.5389 0.4611 0.2113
0.5955 0.0647 0.1876
0.7221 0.2779 0.7215
0.8052 0.8696 0.7030
0.8696 0.8052 0.2030
0.9353 0.4045 0.1876
```

- E: -5.85 eV per atom
- Formation energy (no corrections): -1.46 eV/atom
- Crystal system: orthorhombic
- N(E_F): 9.7 states/eV/cell

Compound: Li2In9Ag
Source: Alexandria
Functional: GGA-PBE
Structure: relaxed

The structure in POSCAR format:
```
Li2In9Ag
1.0
4.5818 0.0000 0.0000
0.0000 4.5818 0.0000
0.0000 0.0000 13.7591
Li In Ag
2 9 1
direct
0.0000 0.0000 0.1620
0.0000 0.0000 0.8380
0.0000 0.5000 0.0000
0.0000 0.5000 0.3343
0.0000 0.5000 0.6657
0.5000 0.0000 0.0000
0.5000 0.0000 0.3343
0.5000 0.0000 0.6657
0.5000 0.5000 0.1654
0.5000 0.5000 0.5000
0.5000 0.5000 0.8346
0.0000 0.0000 0.5000
```

- E: -2.68 eV per atom
- Crystal system: tetragonal
- N(E_F): 4.1 states/eV/cell

Compound: Ge4IrRh
Source: Alexandria
Functional: GGA-PBE
Structure: relaxed

The structure in POSCAR format:
```
Ge4IrRh
1.0
4.1484 -4.1489 0.0000
4.1484 4.1489 0.0000
0.0000 0.0000 3.5538
Ge Ir Rh
4 1 1
direct
0.2049 0.7951 0.0000
0.2936 0.2936 0.5000
0.7064 0.7064 0.5000
0.7951 0.2049 0.0000
0.5000 0.5000 0.0000
0.0000 0.0000 0.5000
```

- E: -5.96 eV per atom
- ΔE to the lowest computed polymorph: 94 meV/atom
- Crystal system: orthorhombic
- N(E_F): 2.1 states/eV/cell

Compound: SrCaP
Source: Alexandria
Functional: GGA-PBE
Structure: relaxed

The structure in POSCAR format:
```
SrCaP
1.0
0.0000 3.5032 3.5032
3.5032 0.0000 3.5032
3.5032 3.5032 0.0000
Sr Ca P
1 1 1
direct
0.0000 0.0000 0.0000
0.2500 0.2500 0.2500
0.5000 0.5000 0.5000
```

- E: -3.12 eV per atom
- Crystal system: cubic
- N(E_F): 3.3 states/eV/cell

Compound: Er6Al5Zn
Source: Alexandria
Functional: GGA-PBE
Structure: relaxed

The structure in POSCAR format:
```
Er6Al5Zn
1.0
2.5271 -7.5847 0.0000
2.5271 7.5847 0.0000
0.0000 0.0000 7.0797
Er Al Zn
6 5 1
direct
0.0000 0.0000 0.2466
0.0000 0.0000 0.7534
0.3348 0.6652 0.2486
0.3348 0.6652 0.7514
0.6652 0.3348 0.2486
0.6652 0.3348 0.7514
0.1667 0.8333 0.0000
0.1674 0.8326 0.5000
0.5000 0.5000 0.5000
0.8333 0.1667 0.0000
0.8326 0.1674 0.5000
0.5000 0.5000 0.0000
```

- E: -4.34 eV per atom
- Crystal system: orthorhombic
- N(E_F): 4.4 states/eV/cell

Compound: CaTaCo2
Source: Alexandria
Functional: GGA-PBE
Structure: relaxed

The structure in POSCAR format:
```
CaTaCo2
1.0
4.5917 0.0000 0.0000
0.0000 4.5917 0.0000
0.0000 0.0000 2.9975
Ca Ta Co
1 1 2
direct
0.0000 0.0000 0.0000
0.5000 0.5000 0.0000
0.0000 0.5000 0.5000
0.5000 0.0000 0.5000
```

- E: -6.78 eV per atom
- ΔE to the lowest computed polymorph: 247 meV/atom
- Crystal system: tetragonal
- N(E_F): 1.8 states/eV/cell

Compound: HfTaS2N
Source: Alexandria
Functional: GGA-PBE
Structure: relaxed

The structure in POSCAR format:
```
HfTaS2N
1.0
4.6817 0.0000 0.0000
0.0000 4.6817 0.0000
0.0000 0.0000 5.6399
Hf Ta S N
1 1 2 1
direct
0.0000 0.0000 0.0000
0.0000 0.0000 0.5000
0.0000 0.5000 0.0000
0.5000 0.0000 0.0000
0.5000 0.5000 0.5000
```

- E: -6.02 eV per atom
- ΔE to the lowest computed polymorph: 1889 meV/atom
- Formation energy (no corrections): 1.66 eV/atom
- Crystal system: tetragonal
- N(E_F): 8.7 states/eV/cell

Compound: CsHgSe2O6
Source: Alexandria
Functional: GGA-PBE
Structure: relaxed

The structure in POSCAR format:
```
CsHgSe2O6
1.0
5.2838 -5.9463 0.0000
5.2838 5.9463 0.0000
-2.4574 0.0000 6.5088
Cs Hg Se O
2 2 4 12
direct
0.1889 0.8111 0.7500
0.8111 0.1889 0.2500
0.4066 0.5934 0.2500
0.5934 0.4066 0.7500
0.1108 0.3193 0.8469
0.3193 0.1108 0.3469
0.6807 0.8892 0.6531
0.8892 0.6807 0.1531
0.0460 0.5803 0.2635
0.1618 0.1746 0.6588
0.1746 0.1618 0.1588
0.3052 0.4894 0.9343
0.4197 0.9540 0.2365
0.4894 0.3052 0.4343
0.5106 0.6948 0.5657
0.5803 0.0460 0.7635
0.6948 0.5106 0.0657
0.8254 0.8382 0.8412
0.8382 0.8254 0.3412
0.9540 0.4197 0.7365
```

- E: -4.60 eV per atom
- Formation energy (no corrections): -0.82 eV/atom
- Crystal system: monoclinic
- N(E_F): 6.6 states/eV/cell

Compound: NaTlH
Source: Alexandria
Functional: GGA-PBE
Structure: relaxed

The structure in POSCAR format:
```
NaTlH
1.0
-2.2871 2.2871 3.5780
2.2871 -2.2871 3.5780
2.2871 2.2871 -3.5780
Na Tl H
1 1 1
direct
0.0000 0.0000 0.0000
0.5733 0.5733 0.0000
0.3000 0.3000 0.0000
```

- E: -2.07 eV per atom
- ΔE to the lowest computed polymorph: 308 meV/atom
- Crystal system: tetragonal
- N(E_F): 1.3 states/eV/cell

Compound: ZnC3
Source: Alexandria
Functional: GGA-PBE
Structure: relaxed

The structure in POSCAR format:
```
ZnC3
1.0
2.5539 0.0000 0.0000
0.0000 8.3467 0.0000
0.0000 0.0000 3.2989
Zn C
1 3
direct
0.0000 0.0000 0.0000
0.0000 0.5000 0.3871
0.5000 0.0000 0.5000
0.5000 0.5000 0.3872
```

- E: -5.78 eV per atom
- ΔE to the lowest computed polymorph: 1000 meV/atom
- Crystal system: orthorhombic
- N(E_F): 1.0 states/eV/cell